A plane-wave DFT calculation with PBE was carried out for crystalline Sm2Y2Tm7 at its relaxed geometry.

Computed properties:
The formation energy is 168 kJ/mol of formula units. As for the space-group type: No. 12.

abc: 6.0382 7.9870 7.9870
angles: 91.22 73.37 73.37
Fractional coordinates of all 11 atoms:
Tm  0.1779  0.5893  0.0635
Tm  0.8221  0.4107  0.9365
Tm  0.0000  0.0000  0.0000
Tm  0.1779  0.0635  0.5893
Tm  0.8221  0.9365  0.4107
Tm  0.5762  0.7668  0.7668
Tm  0.4238  0.2332  0.2332
Sm  0.8079  0.4055  0.4055
Sm  0.1921  0.5945  0.5945
Y  0.5000  0.7889  0.2111
Y  0.5000  0.2111  0.7889